Compound: YFeSnIr
Source: the Open Quantum Materials Database
Functional: GGA-PBE
Structure: optimized geometry

Distance to the lowest polymorph of the same formula ... 0.248 eV per atom
Electronic total energy ... -27.63 eV per cell

Lattice parameters (Å, degrees): 4.710 4.710 4.710 60.00 60.00 60.00
Fractional coordinates of all 4 atoms:
Y 0.000 0.000 0.000
Fe 0.500 0.500 0.500
Sn 0.250 0.250 0.250
Ir 0.750 0.750 0.750



Compound: HoHfNi
Source: the Open Quantum Materials Database
Functional: GGA-PBE
Structure: optimized geometry

Formation energy ... 16 meV/atom
Electronic total energy ... -20.05 eV per cell

Lattice parameters (Å, degrees): 4.525 4.525 4.525 60.00 60.00 60.00
Fractional coordinates of all 3 atoms:
Ho 0.000 0.000 0.000
Hf 0.500 0.500 0.500
Ni 0.750 0.750 0.750



Compound: SrTeW
Source: the Open Quantum Materials Database
Functional: GGA-PBE
Structure: optimized geometry

Distance to the lowest polymorph of the same formula ... 0.376 eV per atom
Electronic total energy ... -13.70 eV per cell

Lattice parameters (Å, degrees): 5.359 5.359 5.359 60.00 60.00 60.00
Fractional coordinates of all 3 atoms:
Sr 0.000 0.000 0.000
Te 0.750 0.750 0.750
W 0.250 0.250 0.250



Compound: Ho4Al4O11
Source: the Open Quantum Materials Database
Functional: GGA-PBE
Structure: optimized geometry

Electronic total energy ... -147.97 eV per cell

Lattice parameters (Å, degrees): 5.150 7.306 5.333 90.00 90.16 90.00
Fractional coordinates of all 19 atoms:
Ho 0.000 0.000 0.000
Ho 0.022 0.500 0.111
Ho 0.501 0.500 0.617
Ho 0.524 0.000 0.498
Al 0.012 0.251 0.556
Al 0.012 0.749 0.556
Al 0.512 0.256 0.058
Al 0.512 0.744 0.058
O 0.098 0.000 0.580
O 0.216 0.297 0.851
O 0.216 0.703 0.851
O 0.309 0.295 0.353
O 0.309 0.705 0.353
O 0.426 0.000 0.079
O 0.716 0.207 0.761
O 0.716 0.793 0.761
O 0.810 0.207 0.259
O 0.810 0.793 0.259
O 0.925 0.500 0.533



Compound: LiBeCoPb
Source: the Open Quantum Materials Database
Functional: GGA-PBE
Structure: optimized geometry

Distance to the lowest polymorph of the same formula ... 0.000 eV per atom
Electronic total energy ... -15.61 eV per cell

Lattice parameters (Å, degrees): 4.269 4.269 4.269 60.00 60.00 60.00
Fractional coordinates of all 4 atoms:
Li 0.000 0.000 0.000
Be 0.250 0.250 0.250
Co 0.500 0.500 0.500
Pb 0.750 0.750 0.750



Compound: LiMgTaPd
Source: the Open Quantum Materials Database
Functional: GGA-PBE
Structure: optimized geometry

Distance to the lowest polymorph of the same formula ... 0.446 eV per atom
Electronic total energy ... -19.07 eV per cell

Lattice parameters (Å, degrees): 4.481 4.481 4.481 60.00 60.00 60.00
Fractional coordinates of all 4 atoms:
Li 0.000 0.000 0.000
Mg 0.500 0.500 0.500
Ta 0.250 0.250 0.250
Pd 0.750 0.750 0.750



Compound: PmTeF
Source: the Open Quantum Materials Database
Functional: GGA-PBE
Structure: optimized geometry

Electronic total energy ... -17.61 eV per cell

Lattice parameters (Å, degrees): 4.183 4.183 4.394 90.00 90.00 120.00
Fractional coordinates of all 3 atoms:
Pm 0.000 0.000 0.000
Te 0.667 0.333 0.500
F 0.333 0.667 0.000



Compound: TbAlCuPd
Source: the Open Quantum Materials Database
Functional: GGA-PBE
Structure: optimized geometry

Electronic total energy ... -39.72 eV per cell

Lattice parameters (Å, degrees): 4.351 4.351 8.980 90.00 90.00 120.00
Fractional coordinates of all 8 atoms:
Tb 0.333 0.667 0.246
Tb 0.667 0.333 0.754
Al 0.000 0.000 0.000
Al 0.000 0.000 0.500
Cu 0.333 0.667 0.927
Cu 0.667 0.333 0.073
Pd 0.333 0.667 0.584
Pd 0.667 0.333 0.416



Compound: Nb3CuPb5
Source: the Open Quantum Materials Database
Functional: GGA-PBE
Structure: optimized geometry

Electronic total energy ... -48.21 eV per cell

Lattice parameters (Å, degrees): 5.857 5.857 7.966 90.00 90.00 120.00
Fractional coordinates of all 9 atoms:
Nb 0.000 0.500 0.000
Nb 0.500 0.000 0.000
Nb 0.500 0.500 0.000
Cu 0.000 0.000 0.500
Pb 0.000 0.000 0.000
Pb 0.333 0.667 0.312
Pb 0.333 0.667 0.688
Pb 0.667 0.333 0.312
Pb 0.667 0.333 0.688



Compound: RbYHgSe3
Source: the Open Quantum Materials Database
Functional: GGA-PBE
Structure: optimized geometry

Electronic total energy ... -50.77 eV per cell

Lattice parameters (Å, degrees): 8.774 4.270 10.723 90.00 109.40 90.00
Fractional coordinates of all 12 atoms:
Rb 0.250 0.250 0.225
Rb 0.750 0.750 0.775
Y 0.178 0.750 0.633
Y 0.822 0.250 0.367
Hg 0.414 0.250 0.883
Hg 0.586 0.750 0.117
Se 0.038 0.750 0.358
Se 0.253 0.750 0.939
Se 0.410 0.250 0.638
Se 0.590 0.750 0.362
Se 0.747 0.250 0.061
Se 0.962 0.250 0.642



Compound: Er4GaGe4Pd2
Source: the Open Quantum Materials Database
Functional: GGA-PBE
Structure: optimized geometry

Electronic total energy ... -59.62 eV per cell

Lattice parameters (Å, degrees): 8.073 8.073 7.008 106.74 106.74 30.39
Fractional coordinates of all 11 atoms:
Er 0.085 0.085 0.376
Er 0.154 0.154 0.925
Er 0.846 0.846 0.075
Er 0.915 0.915 0.624
Ga 0.500 0.500 0.000
Ge 0.312 0.312 0.766
Ge 0.440 0.440 0.334
Ge 0.560 0.560 0.666
Ge 0.688 0.688 0.234
Pd 0.281 0.281 0.368
Pd 0.719 0.719 0.632



Compound: Tl2IrPdCl6
Source: the Open Quantum Materials Database
Functional: GGA-PBE
Structure: optimized geometry

Electronic total energy ... -35.44 eV per cell

Lattice parameters (Å, degrees): 7.002 7.002 7.002 60.00 60.00 60.00
Fractional coordinates of all 10 atoms:
Tl 0.250 0.250 0.250
Tl 0.750 0.750 0.750
Ir 0.000 0.000 0.000
Pd 0.500 0.500 0.500
Cl 0.241 0.241 0.759
Cl 0.241 0.759 0.241
Cl 0.241 0.759 0.759
Cl 0.759 0.241 0.241
Cl 0.759 0.241 0.759
Cl 0.759 0.759 0.241



Compound: SnIr7
Source: the Open Quantum Materials Database
Functional: GGA-PBE
Structure: optimized geometry

Distance to the lowest polymorph of the same formula ... 0.000 eV per atom
Electronic total energy ... -130.98 eV per cell

Lattice parameters (Å, degrees): 2.769 3.871 35.534 90.00 90.00 90.00
Fractional coordinates of all 16 atoms:
Sn 0.250 0.250 0.204
Sn 0.750 0.750 0.796
Ir 0.250 0.250 0.289
Ir 0.250 0.250 0.366
Ir 0.250 0.250 0.442
Ir 0.250 0.250 0.519
Ir 0.250 0.250 0.596
Ir 0.250 0.250 0.673
Ir 0.250 0.250 0.749
Ir 0.750 0.750 0.251
Ir 0.750 0.750 0.327
Ir 0.750 0.750 0.404
Ir 0.750 0.750 0.481
Ir 0.750 0.750 0.558
Ir 0.750 0.750 0.634
Ir 0.750 0.750 0.711



Compound: SmZrS3
Source: the Open Quantum Materials Database
Functional: GGA-PBE
Structure: optimized geometry

Electronic total energy ... -137.94 eV per cell

Lattice parameters (Å, degrees): 8.130 3.722 13.973 90.00 90.00 90.00
Fractional coordinates of all 20 atoms:
Sm 0.135 0.250 0.196
Sm 0.365 0.750 0.696
Sm 0.635 0.250 0.304
Sm 0.865 0.750 0.804
Zr 0.175 0.750 0.460
Zr 0.325 0.250 0.960
Zr 0.675 0.750 0.040
Zr 0.825 0.250 0.540
S 0.007 0.750 0.616
S 0.157 0.250 0.799
S 0.159 0.750 0.046
S 0.341 0.250 0.546
S 0.343 0.750 0.299
S 0.493 0.250 0.116
S 0.507 0.750 0.884
S 0.657 0.250 0.701
S 0.659 0.750 0.454
S 0.841 0.250 0.954
S 0.843 0.750 0.201
S 0.993 0.250 0.384



Compound: Co2CuSn
Source: the Open Quantum Materials Database
Functional: GGA-PBE
Structure: optimized geometry

Electronic total energy ... -21.29 eV per cell

Lattice parameters (Å, degrees): 4.232 4.232 4.232 60.00 60.00 60.00
Fractional coordinates of all 4 atoms:
Co 0.000 0.000 0.000
Co 0.250 0.250 0.250
Cu 0.750 0.750 0.750
Sn 0.500 0.500 0.500



Compound: PPdAuO
Source: the Open Quantum Materials Database
Functional: GGA-PBE
Structure: optimized geometry

Distance to the lowest polymorph of the same formula ... 0.054 eV per atom
Electronic total energy ... -37.72 eV per cell

Lattice parameters (Å, degrees): 3.858 6.044 5.852 90.00 90.00 90.00
Fractional coordinates of all 8 atoms:
P 0.000 0.239 0.000
P 0.000 0.761 0.500
Pd 0.000 0.127 0.620
Pd 0.000 0.873 0.120
Au 0.500 0.465 0.050
Au 0.500 0.535 0.550
O 0.500 0.169 0.547
O 0.500 0.831 0.047



Compound: YLuNO
Source: the Open Quantum Materials Database
Functional: GGA-PBE
Structure: optimized geometry

Distance to the lowest polymorph of the same formula ... 0.054 eV per atom
Electronic total energy ... -66.67 eV per cell

Lattice parameters (Å, degrees): 4.784 3.919 6.789 90.00 90.00 90.00
Fractional coordinates of all 8 atoms:
Y 0.250 0.000 0.164
Y 0.750 0.000 0.836
Lu 0.250 0.500 0.667
Lu 0.750 0.500 0.333
N 0.250 0.500 0.343
N 0.750 0.500 0.657
O 0.250 0.000 0.812
O 0.750 0.000 0.188



Compound: TlIr5
Source: the Open Quantum Materials Database
Functional: GGA-PBE
Structure: optimized geometry

Electronic total energy ... -176.03 eV per cell

Lattice parameters (Å, degrees): 5.475 6.395 11.496 90.00 90.00 90.00
Fractional coordinates of all 24 atoms:
Tl 0.000 0.106 0.000
Tl 0.000 0.894 0.500
Tl 0.500 0.162 0.727
Tl 0.500 0.838 0.227
Ir 0.000 0.143 0.721
Ir 0.000 0.447 0.154
Ir 0.000 0.470 0.876
Ir 0.000 0.530 0.376
Ir 0.000 0.553 0.654
Ir 0.000 0.857 0.221
Ir 0.246 0.288 0.526
Ir 0.246 0.712 0.026
Ir 0.248 0.201 0.300
Ir 0.248 0.799 0.800
Ir 0.500 0.065 0.971
Ir 0.500 0.378 0.128
Ir 0.500 0.463 0.898
Ir 0.500 0.537 0.398
Ir 0.500 0.622 0.628
Ir 0.500 0.935 0.471
Ir 0.752 0.201 0.300
Ir 0.752 0.799 0.800
Ir 0.754 0.288 0.526
Ir 0.754 0.712 0.026



Compound: Tb12CdCo6
Source: the Open Quantum Materials Database
Functional: GGA-PBE
Structure: optimized geometry

Formation energy ... -207 meV/atom
Electronic total energy ... -103.01 eV per cell

Lattice parameters (Å, degrees): 8.377 8.377 8.377 109.47 109.47 109.47
Fractional coordinates of all 19 atoms:
Tb 0.110 0.806 0.304
Tb 0.194 0.304 0.498
Tb 0.194 0.696 0.890
Tb 0.304 0.110 0.806
Tb 0.304 0.498 0.194
Tb 0.498 0.194 0.304
Tb 0.502 0.806 0.696
Tb 0.696 0.502 0.806
Tb 0.696 0.890 0.194
Tb 0.806 0.304 0.110
Tb 0.806 0.696 0.502
Tb 0.890 0.194 0.696
Cd 0.000 0.000 0.000
Co 0.113 0.613 0.500
Co 0.387 0.500 0.887
Co 0.500 0.113 0.613
Co 0.500 0.887 0.387
Co 0.613 0.500 0.113
Co 0.887 0.387 0.500



Compound: YSi2AgIr
Source: the Open Quantum Materials Database
Functional: GGA-PBE
Structure: optimized geometry

Electronic total energy ... -32.06 eV per cell

Lattice parameters (Å, degrees): 5.858 5.858 5.858 138.51 138.51 60.12
Fractional coordinates of all 5 atoms:
Y 0.000 0.000 0.000
Si 0.385 0.385 0.000
Si 0.615 0.615 0.000
Ag 0.250 0.750 0.500
Ir 0.750 0.250 0.500



Compound: ZrBSb
Source: the Open Quantum Materials Database
Functional: GGA-PBE
Structure: optimized geometry

Distance to the lowest polymorph of the same formula ... 0.000 eV per atom
Electronic total energy ... -17.90 eV per cell

Lattice parameters (Å, degrees): 4.291 4.291 4.291 60.00 60.00 60.00
Fractional coordinates of all 3 atoms:
Zr 0.000 0.000 0.000
B 0.750 0.750 0.750
Sb 0.500 0.500 0.500



Compound: NaYHgSe3
Source: the Open Quantum Materials Database
Functional: GGA-PBE
Structure: optimized geometry

Distance to the lowest polymorph of the same formula ... 0.000 eV per atom
Electronic total energy ... -100.79 eV per cell

Lattice parameters (Å, degrees): 13.826 4.172 11.322 90.00 90.00 90.00
Fractional coordinates of all 24 atoms:
Na 0.238 0.250 0.077
Na 0.262 0.750 0.577
Na 0.738 0.250 0.423
Na 0.762 0.750 0.923
Y 0.019 0.250 0.346
Y 0.481 0.750 0.846
Y 0.519 0.250 0.154
Y 0.981 0.750 0.654
Hg 0.009 0.750 0.103
Hg 0.491 0.250 0.603
Hg 0.509 0.750 0.397
Hg 0.991 0.250 0.897
Se 0.107 0.250 0.571
Se 0.114 0.750 0.876
Se 0.150 0.750 0.261
Se 0.350 0.250 0.761
Se 0.386 0.250 0.376
Se 0.393 0.750 0.071
Se 0.607 0.250 0.929
Se 0.614 0.750 0.624
Se 0.650 0.750 0.239
Se 0.850 0.250 0.739
Se 0.886 0.250 0.124
Se 0.893 0.750 0.429